[1]
## Mg2InAu (PBE)

Data for crystalline Mg2InAu at its relaxed geometry.

a b c (Å): 3.7150 3.7150 6.0627
angles (deg): 90.00 90.00 90.00
With the nearest neighbours (Å) after each atom.
Fractional positions:
In 0.5000 0.5000 0.7533  6 Mg 2.88-3.18, 4 Au 3.15
Mg 0.5000 0.5000 0.2785  4 Au 2.86, 2 In 2.88-3.18, 4 Mg 3.12
Mg 0.0000 0.0000 0.0019  1 Au 2.82, 4 In 3.03, 4 Mg 3.12
Au 0.0000 0.0000 0.4664  5 Mg 2.82-2.86, 4 In 3.15

uncorrected energy	-10.23	eV/f.u.
DFT formation energy	-0.26	eV/atom



[2]
## Tm4B3AsRh12 (PBE)

Data for crystalline Tm4B3AsRh12 at its relaxed geometry.

a b c (Å): 7.4084 7.4084 7.4084
angles (deg): 109.47 109.47 109.47
With the nearest neighbours (Å) after each atom.
Fractional positions:
Rh 0.7329 0.0000 0.7329  1 B 1.99
Rh 0.7329 0.7329 0.0000  1 B 1.99
Rh 0.0000 0.2671 0.2671  1 B 1.99
Rh 0.5000 0.2500 0.7500  2 B 2.14
Rh 0.7500 0.5000 0.2500  2 B 2.14
Rh 0.2500 0.7500 0.5000  2 B 2.14
Rh 0.2500 0.5000 0.7500  2 B 2.14
Rh 0.2671 0.0000 0.2671  1 B 1.99
Rh 0.0000 0.7329 0.7329  1 B 1.99
Rh 0.2671 0.2671 0.0000  1 B 1.99
Rh 0.7500 0.2500 0.5000  2 B 2.14
Rh 0.5000 0.7500 0.2500  2 B 2.14
B 0.0000 0.5000 0.5000  6 Rh 1.99-2.14
B 0.5000 0.0000 0.5000  6 Rh 1.99-2.14
B 0.5000 0.5000 0.0000  6 Rh 1.99-2.14
Tm 0.5000 0.0000 0.0000  12 Rh 3.02-3.03
Tm 0.0000 0.0000 0.5000  12 Rh 3.02-3.03
Tm 0.5000 0.5000 0.5000  12 Rh 3.02-3.03
Tm 0.0000 0.5000 0.0000  12 Rh 3.02-3.03
As 0.0000 0.0000 0.0000  6 Rh 2.28

uncorrected energy	-145.32	eV/f.u.
DFT formation energy	-0.73	eV/atom